Entry 1:
ThIr2Au (PBE, relaxed); total energy = -7.665 eV per atom; density = 17.907 g/cm³; ΔH_f (0 K) = -0.5598 eV per atom
1.0
4.314 0.000 0.000
0.000 4.314 0.000
0.000 0.000 4.054
Th Ir Au
1 2 1
direct
0.000 0.000 0.000
0.000 0.500 0.500
0.500 0.000 0.500
0.500 0.500 0.000

Entry 2:
Rb2PmThSe4 (PBE, relaxed); total energy = -5.135 eV per atom; E_form (uncorrected) = -157.2 kJ/mol of atoms; density = 5.513 g/cm³
1.0
7.459 0.000 0.000
0.000 4.314 0.000
-2.481 0.000 8.085
Rb Pm Th Se
2 1 1 4
direct
0.000 0.000 0.000
0.500 0.500 0.000
0.000 0.500 0.500
0.500 0.000 0.500
0.238 0.000 0.703
0.268 0.500 0.296
0.732 0.500 0.704
0.762 0.000 0.297

Entry 3:
K2SmBr4 (PBE, relaxed); total energy = -3.525 eV per atom; E_form (uncorrected) = -152.6 kJ/mol of atoms; density = 3.267 g/cm³
1.0
-2.865 2.865 8.483
2.865 -2.865 8.483
2.865 2.865 -8.483
K Sm Br
2 1 4
direct
0.138 0.138 0.000
0.862 0.862 0.000
0.500 0.500 0.000
0.000 0.500 0.500
0.328 0.328 0.000
0.500 0.000 0.500
0.672 0.672 0.000

Entry 4:
LiLa2CdC (PBE, relaxed); total energy = -4.423 eV per atom; density = 5.584 g/cm³; ΔH_f (0 K) = -0.0414 eV per atom
1.0
5.267 0.000 0.000
0.000 5.267 0.000
0.000 0.000 4.386
Li La Cd C
1 2 1 1
direct
0.000 0.000 0.000
0.000 0.500 0.500
0.500 0.000 0.500
0.500 0.500 0.000
0.000 0.000 0.500

Entry 5:
Tl2InAu (PBE, relaxed); total energy = -2.659 eV per atom; density = 11.181 g/cm³; ΔH_f (0 K) = 0.0279 eV per atom
1.0
2.306 -2.545 0.000
2.306 2.545 0.000
0.000 0.000 9.116
Tl In Au
2 1 1
direct
0.000 0.000 0.216
0.000 0.000 0.784
0.500 0.500 0.500
0.500 0.500 0.000

Entry 6:
BaCaAlHg (PBE, relaxed); total energy = -2.269 eV per atom; density = 5.268 g/cm³; ΔH_f (0 K) = -0.2769 eV per atom
1.0
0.000 3.996 3.996
3.996 0.000 3.996
3.996 3.996 0.000
Ba Ca Al Hg
1 1 1 1
direct
0.000 0.000 0.000
0.500 0.500 0.500
0.750 0.750 0.750
0.250 0.250 0.250

> density of number 1 (ThIr2Au)?

17.907 g/cm³

> Among the records above, which one has the highest total energy?

BaCaAlHg

> Which value of total energy does entry 6 give?

-2.269 eV per atom

> What is the formula in the third record?

K2SmBr4